[1]
The following is a PBE calculation of crystalline SmSc2Rh at its relaxed geometry, from Alexandria.

Cell: 3.297 3.297 8.317 Å, 90.00 90.00 90.00°
Space group P4/mmm (No. 123)
Unique sites:
Sm: 0.000 0.000 0.000
Sc: 0.500 0.500 0.313
Rh: 0.000 0.000 0.500

Results
* magnetization: 0.0 μB per formula unit
* formation enthalpy at 0 K: -1.9 eV per formula unit
* final energy: -6.65 eV per atom

=====

[2]
The following is a PBE calculation of crystalline Sr3Sb4Pt4 at its relaxed geometry, from Alexandria.

Cell: 4.640 4.680 26.370 Å, 90.00 90.00 90.00°
Space group Immm (No. 71)
Unique sites:
Sr: 0.000 0.000 0.000
Sr: 0.000 0.500 0.151
Sb: 0.000 0.000 0.444
Sb: 0.000 0.500 0.302
Pt: 0.000 0.000 0.249
Pt: 0.000 0.500 0.401

Results
* raw formation energy: -0.85 eV/atom
* magnetization: 0.0 μB per formula unit
* final energy: -5.01 eV per atom

=====

[3]
The following is a PBE calculation of crystalline LaInPCl2 at its relaxed geometry, from Alexandria.

Cell: 5.130 5.130 5.220 Å, 90.00 90.00 90.00°
Space group P4/mmm (No. 123)
Unique sites:
La: 0.000 0.000 0.000
In: 0.500 0.500 0.500
P: 0.500 0.500 0.000
Cl: 0.000 0.500 0.500

Results
* raw formation energy: -0.68 eV/atom
* magnetization: 0.3 μB per formula unit
* final energy: -4.03 eV per atom

=====

[4]
The following is a PBE calculation of crystalline AcHo4Er5 at its relaxed geometry, from Alexandria.

Cell: 17.131 3.565 10.967 Å, 90.00 90.62 90.00°
Space group C2/m (No. 12)
Unique sites:
Ac: 0.000 0.000 0.000
Ho: 0.027 0.500 0.742
Ho: 0.152 0.000 0.250
Er: 0.000 0.000 0.500
Er: 0.173 0.500 0.548
Er: 0.177 0.500 0.942

Results
* magnetization: 0.0 μB per formula unit
* formation enthalpy at 0 K: 2.2 eV per formula unit
* final energy: -4.30 eV per atom

=====

[5]
The following is a PBE calculation of crystalline BaMgBiF7 at its relaxed geometry, from Alexandria.

Cell: 5.750 10.927 9.842 Å, 90.00 94.47 90.00°
Space group P2_1/c (No. 14)
Unique sites:
Ba: 0.249 0.152 0.031
Mg: 0.207 0.650 0.793
Bi: 0.279 0.577 0.136
F: 0.011 0.703 0.228
F: 0.073 0.112 0.595
F: 0.098 0.557 0.633
F: 0.325 0.727 0.972
F: 0.354 0.002 0.383
F: 0.392 0.515 0.348
F: 0.476 0.746 0.229

Results
* raw formation energy: -3.20 eV/atom
* magnetization: 0.0 μB per formula unit
* final energy: -5.25 eV per atom

=====

[6]
The following is a PBE calculation of crystalline Li2CuPd2 at its relaxed geometry, from Alexandria.

Cell: 7.396 4.292 4.886 Å, 90.00 119.62 90.00°
Space group C2/m (No. 12)
Unique sites:
Li: 0.093 0.000 0.281
Cu: 0.000 0.500 0.500
Pd: 0.212 0.500 0.137

Results
* magnetization: 0.0 μB per formula unit
* formation enthalpy at 0 K: -1.3 eV per formula unit
* final energy: -3.92 eV per atom

=====

> Which formula does entry 1 have?

SmSc2Rh

=====

> final energy of number 4 (AcHo4Er5)?

-4.30 eV per atom

=====

> Which value of magnetization does entry 6 give?

0.0 μB per formula unit